Compound: TaCo3H
Source: Alexandria via LeMat-Bulk
Functional: PBE
Structure: relaxed

## Properties
E   -146.3 eV per cell

abc: 6.882 6.882 4.512
angles: 91.22 91.22 103.21
Sites, in units of the cell vectors:
Ta: 0.053 0.215 0.049
Ta: 0.215 0.053 0.549
Ta: 0.785 0.947 0.451
Ta: 0.947 0.785 0.951
Co: 0.068 0.670 0.422
Co: 0.199 0.567 0.910
Co: 0.307 0.436 0.426
Co: 0.330 0.932 0.078
Co: 0.433 0.801 0.590
Co: 0.436 0.307 0.926
Co: 0.564 0.693 0.074
Co: 0.567 0.199 0.410
Co: 0.670 0.068 0.922
Co: 0.693 0.564 0.574
Co: 0.801 0.433 0.090
Co: 0.932 0.330 0.578
H: 0.317 0.683 0.250
H: 0.450 0.550 0.750
H: 0.550 0.450 0.250
H: 0.683 0.317 0.750



Compound: TaCo3H
Source: Alexandria via LeMat-Bulk
Functional: PBE
Structure: relaxed

## Properties
E   -75.4 eV per cell

abc: 5.222 5.222 4.222
angles: 90.00 90.00 120.00
Sites, in units of the cell vectors:
Ta: 0.333 0.667 0.250
Ta: 0.667 0.333 0.750
Co: 0.164 0.329 0.750
Co: 0.164 0.836 0.750
Co: 0.329 0.164 0.250
Co: 0.671 0.836 0.750
Co: 0.836 0.164 0.250
Co: 0.836 0.671 0.250
H: 0.000 0.000 0.000
H: 0.000 0.000 0.500



Compound: TaCo3H
Source: Alexandria via LeMat-Bulk
Functional: PBE
Structure: relaxed

## Properties
E   -149.8 eV per cell

abc: 6.951 4.199 9.285
angles: 90.00 131.88 90.00
Sites, in units of the cell vectors:
Ta: 0.250 0.240 0.197
Ta: 0.250 0.260 0.697
Ta: 0.750 0.740 0.303
Ta: 0.750 0.760 0.803
Co: 0.003 0.249 0.833
Co: 0.003 0.251 0.333
Co: 0.250 0.741 0.034
Co: 0.250 0.759 0.534
Co: 0.497 0.248 0.580
Co: 0.497 0.252 0.080
Co: 0.503 0.748 0.920
Co: 0.503 0.752 0.420
Co: 0.750 0.241 0.466
Co: 0.750 0.259 0.966
Co: 0.997 0.749 0.667
Co: 0.997 0.751 0.167
H: 0.247 0.522 0.378
H: 0.247 0.978 0.878
H: 0.753 0.022 0.122
H: 0.753 0.478 0.622



Compound: TaCoH3
Source: Alexandria via LeMat-Bulk
Functional: PBE
Structure: relaxed

## Properties
E   -26.6 eV per cell

abc: 3.519 3.519 3.519
angles: 90.00 90.00 90.00
Sites, in units of the cell vectors:
Ta: 0.000 0.000 0.000
Co: 0.500 0.500 0.500
H: 0.000 0.000 0.500
H: 0.000 0.500 0.000
H: 0.500 0.000 0.000



Compound: TaCo3H
Source: Alexandria via LeMat-Bulk
Functional: PBE
Structure: relaxed

## Properties
E   -144.8 eV per cell

abc: 6.844 6.844 5.152
angles: 101.23 101.23 65.15
Sites, in units of the cell vectors:
Ta: 0.078 0.922 0.750
Ta: 0.348 0.652 0.250
Ta: 0.652 0.348 0.750
Ta: 0.922 0.078 0.250
Co: 0.001 0.334 0.063
Co: 0.010 0.343 0.597
Co: 0.330 0.330 0.413
Co: 0.330 0.330 0.913
Co: 0.334 0.001 0.563
Co: 0.343 0.010 0.097
Co: 0.657 0.990 0.903
Co: 0.666 0.999 0.437
Co: 0.670 0.670 0.087
Co: 0.670 0.670 0.587
Co: 0.990 0.657 0.403
Co: 0.999 0.666 0.937
H: 0.178 0.524 0.677
H: 0.476 0.822 0.823
H: 0.524 0.178 0.177
H: 0.822 0.476 0.323



Compound: TaCoH3
Source: Alexandria via LeMat-Bulk
Functional: PBE
Structure: relaxed

## Properties
E   -57.9 eV per cell

abc: 2.970 2.970 8.544
angles: 90.00 90.00 90.00
Sites, in units of the cell vectors:
Ta: 0.000 0.000 0.000
Ta: 0.500 0.500 0.500
Co: 0.000 0.000 0.694
Co: 0.500 0.500 0.194
H: 0.000 0.000 0.505
H: 0.000 0.500 0.333
H: 0.000 0.500 0.833
H: 0.500 0.000 0.333
H: 0.500 0.000 0.833
H: 0.500 0.500 0.005



Compound: TaCoH2
Source: Alexandria via LeMat-Bulk
Functional: PBE
Structure: relaxed

## Properties
E   -77.1 eV per cell

abc: 2.936 2.936 14.109
angles: 90.00 90.00 120.00
Sites, in units of the cell vectors:
Ta: 0.000 0.000 0.000
Ta: 0.333 0.667 0.667
Ta: 0.667 0.333 0.333
Co: 0.000 0.000 0.481
Co: 0.333 0.667 0.147
Co: 0.667 0.333 0.814
H: 0.000 0.000 0.143
H: 0.000 0.000 0.598
H: 0.333 0.667 0.265
H: 0.333 0.667 0.810
H: 0.667 0.333 0.476
H: 0.667 0.333 0.931



Compound: Ta2CoH6
Source: Alexandria via LeMat-Bulk
Functional: PBE
Structure: relaxed

## Properties
E   -51.3 eV per cell

abc: 5.413 5.413 5.413
angles: 147.80 131.08 59.79
Sites, in units of the cell vectors:
Ta: 0.160 0.160 0.000
Ta: 0.840 0.840 0.000
Co: 0.500 0.500 0.000
H: 0.117 0.340 0.776
H: 0.281 0.000 0.281
H: 0.436 0.660 0.776
H: 0.564 0.340 0.224
H: 0.719 0.000 0.719
H: 0.883 0.660 0.224



Compound: TaCo3H
Source: Alexandria via LeMat-Bulk
Functional: PBE
Structure: relaxed

## Properties
E   -72.8 eV per cell

abc: 3.825 6.429 4.677
angles: 90.00 113.94 90.00
Sites, in units of the cell vectors:
Ta: 0.078 0.250 0.152
Ta: 0.922 0.750 0.848
Co: 0.218 0.750 0.434
Co: 0.356 0.051 0.716
Co: 0.356 0.449 0.716
Co: 0.644 0.551 0.284
Co: 0.644 0.949 0.284
Co: 0.782 0.250 0.566
H: 0.488 0.250 0.972
H: 0.512 0.750 0.028



Compound: TaCo3H
Source: Alexandria via LeMat-Bulk
Functional: PBE
Structure: relaxed

## Properties
E   -71.0 eV per cell

abc: 2.772 2.772 16.573
angles: 90.00 90.00 120.00
Sites, in units of the cell vectors:
Ta: 0.000 0.000 0.000
Ta: 0.000 0.000 0.500
Co: 0.000 0.000 0.250
Co: 0.000 0.000 0.750
Co: 0.333 0.667 0.131
Co: 0.333 0.667 0.369
Co: 0.667 0.333 0.631
Co: 0.667 0.333 0.869
H: 0.333 0.667 0.250
H: 0.667 0.333 0.750



Compound: TaCoH2
Source: Alexandria via LeMat-Bulk
Functional: PBE
Structure: relaxed

## Properties
E   -98.1 eV per cell

abc: 5.123 5.123 5.123
angles: 90.00 90.00 90.00
Sites, in units of the cell vectors:
Ta: 0.000 0.000 0.000
Ta: 0.000 0.500 0.500
Ta: 0.500 0.000 0.500
Ta: 0.500 0.500 0.000
Co: 0.000 0.000 0.500
Co: 0.000 0.500 0.000
Co: 0.500 0.000 0.000
Co: 0.500 0.500 0.500
H: 0.250 0.250 0.250
H: 0.250 0.250 0.750
H: 0.250 0.750 0.250
H: 0.250 0.750 0.750
H: 0.750 0.250 0.250
H: 0.750 0.250 0.750
H: 0.750 0.750 0.250
H: 0.750 0.750 0.750



Compound: TaCo3H
Source: Alexandria via LeMat-Bulk
Functional: PBE
Structure: relaxed

## Properties
E   -33.2 eV per cell

abc: 3.442 3.442 5.722
angles: 90.00 90.00 90.00
Sites, in units of the cell vectors:
Ta: 0.000 0.000 0.000
Co: 0.000 0.000 0.594
Co: 0.000 0.500 0.301
Co: 0.500 0.000 0.301
H: 0.500 0.500 0.374